ZnCoSO: relaxed, GGA+U.

Unit cell a=3.655 b=3.655 c=8.267 alpha=90.00 beta=90.00 gamma=90.00
Fractional coordinates of all 8 atoms:
Zn (0.750, 0.750, 0.134)
Zn (0.250, 0.250, 0.866)
O (0.750, 0.750, 0.900)
O (0.250, 0.250, 0.100)
S (0.250, 0.750, 0.500)
S (0.750, 0.250, 0.500)
Co (0.250, 0.250, 0.322)
Co (0.750, 0.750, 0.678)

Calculated values
E = -4.004 eV per atom
Symmetry = No. 129
Energy above the lowest structure with this stoichiometry = 15.734 kcal/mol of atoms